A:
A relaxed LiCuC3 crystal. Source: the Alexandria database, functional PBE-GGA.

Density: 3.715 g/cm3
Fermi-level density of states: 0.4469 states/eV per atom

Cell lengths 3.6243, 3.6243, 3.6243 Å; angles 90.00, 90.00, 90.00 degrees
With the nearest neighbours (Å) after each atom.
Fractional positions:
C 0.0000 0.5000 0.0000  2 Li 1.81
C 0.0000 0.0000 0.5000  2 Li 1.81
C 0.5000 0.0000 0.0000  2 Li 1.81
Cu 0.5000 0.5000 0.5000  12 C 2.56
Li 0.0000 0.0000 0.0000  6 C 1.81

=====

B:
A relaxed LiCuC3 crystal. Source: the Alexandria database, functional PBE-GGA.

Density: 3.088 g/cm3
Fermi-level density of states: 0.4133 states/eV per atom

Cell lengths 3.8549, 3.8549, 3.8549 Å; angles 90.00, 90.00, 90.00 degrees
With the nearest neighbours (Å) after each atom.
Fractional positions:
C 0.5000 0.0000 0.0000  2 Cu 1.93
C 0.0000 0.0000 0.5000  2 Cu 1.93
C 0.0000 0.5000 0.0000  2 Cu 1.93
Li 0.5000 0.5000 0.5000  12 C 2.73
Cu 0.0000 0.0000 0.0000  6 C 1.93

=====

Stability check: which of them is most stable? B.

=====

A:
A relaxed LiY2CuC crystal. Source: the Alexandria database, functional PBE-GGA.

Density: 4.486 g/cm3
Fermi-level density of states: 0.9292 states/eV per atom

Cell lengths 4.9829, 4.9829, 3.8807 Å; angles 90.00, 90.00, 90.00 degrees
With the nearest neighbours (Å) after each atom.
Fractional positions:
Y 0.0000 0.5000 0.0000  2 C 2.49
Y 0.5000 0.0000 0.0000  2 C 2.49
Li 0.5000 0.5000 0.5000  8 Y 3.16, 4 Cu 3.52
Cu 0.0000 0.0000 0.5000  2 C 1.94
C 0.0000 0.0000 0.0000  2 Cu 1.94

=====

B:
A relaxed LiY2CuC crystal. Source: the Alexandria database, functional PBE-GGA.

Density: 4.482 g/cm3
Fermi-level density of states: 0.6614 states/eV per atom

Cell lengths 4.8779, 4.8779, 4.0528 Å; angles 90.00, 90.00, 90.00 degrees
With the nearest neighbours (Å) after each atom.
Fractional positions:
Y 0.5000 0.0000 0.0000  2 C 2.44
Y 0.0000 0.5000 0.0000  2 C 2.44
Li 0.0000 0.0000 0.5000  2 C 2.03
Cu 0.5000 0.5000 0.5000  8 Y 3.17, 4 Li 3.45
C 0.0000 0.0000 0.0000  2 Li 2.03

=====

Stability check: which of them is most stable? B.

=====

A:
A relaxed MgCuC3 crystal. Source: the Alexandria database, functional PBE-GGA.

Density: 3.531 g/cm3
Fermi-level density of states: 0.7305 states/eV per atom

Cell lengths 3.8768, 3.8768, 3.8768 Å; angles 90.00, 90.00, 90.00 degrees
With the nearest neighbours (Å) after each atom.
Fractional positions:
C 0.0000 0.5000 0.0000  2 Cu 1.94
C 0.5000 0.0000 0.0000  2 Cu 1.94
C 0.0000 0.0000 0.5000  2 Cu 1.94
Mg 0.5000 0.5000 0.5000  12 C 2.74
Cu 0.0000 0.0000 0.0000  6 C 1.94

=====

B:
A relaxed MgCuC3 crystal. Source: the Alexandria database, functional PBE-GGA.

Density: 3.085 g/cm3
Fermi-level density of states: 0.5492 states/eV per atom

Cell lengths 4.0550, 4.0550, 4.0550 Å; angles 90.00, 90.00, 90.00 degrees
With the nearest neighbours (Å) after each atom.
Fractional positions:
C 0.0000 0.5000 0.0000  2 Mg 2.03
C 0.0000 0.0000 0.5000  2 Mg 2.03
C 0.5000 0.0000 0.0000  2 Mg 2.03
Mg 0.0000 0.0000 0.0000  6 C 2.03
Cu 0.5000 0.5000 0.5000  12 C 2.87

=====

Stability check: which of them is most stable? A.

=====

A:
A relaxed Mg14CuC crystal. Source: the Alexandria database, functional PBE-GGA.

Density: 2.132 g/cm3
Fermi-level density of states: 0.4278 states/eV per atom

Cell lengths 6.1772, 6.1772, 9.7996 Å; angles 90.00, 90.00, 120.00 degrees
With the nearest neighbours (Å) after each atom.
Fractional positions:
Mg 0.4991 0.5009 0.0000  10 Mg 3.03-3.12, 2 Cu 3.09
Mg 0.6814 0.8407 0.2587  1 C 2.91, 10 Mg 2.95-3.23, 1 Cu 3.05
Mg 0.1593 0.3186 0.7413  1 C 2.91, 10 Mg 2.95-3.23, 1 Cu 3.05
Mg 0.5020 0.4980 0.5000  10 Mg 2.99-3.13, 2 C 3.09
Mg 0.6814 0.8407 0.7413  1 C 2.91, 10 Mg 2.95-3.23, 1 Cu 3.05
Mg 0.6667 0.3333 0.7508  12 Mg 3.02-3.09
Mg 0.1593 0.8407 0.7413  1 C 2.91, 10 Mg 2.95-3.23, 1 Cu 3.05
Mg 0.9960 0.4980 0.5000  10 Mg 2.99-3.13, 2 C 3.09
Mg 0.4991 0.9982 0.0000  10 Mg 3.03-3.12, 2 Cu 3.09
Mg 0.1593 0.3186 0.2587  1 C 2.91, 10 Mg 2.95-3.23, 1 Cu 3.05
Mg 0.0018 0.5009 0.0000  10 Mg 3.03-3.12, 2 Cu 3.09
Mg 0.5020 0.0040 0.5000  10 Mg 2.99-3.13, 2 C 3.09
Mg 0.1593 0.8407 0.2587  1 C 2.91, 10 Mg 2.95-3.23, 1 Cu 3.05
Mg 0.6667 0.3333 0.2492  12 Mg 3.02-3.09
Cu 0.0000 0.0000 0.0000  12 Mg 3.05-3.09
C 0.0000 0.0000 0.5000  12 Mg 2.91-3.09

=====

B:
A relaxed Mg14CuC crystal. Source: the Alexandria database, functional PBE-GGA.

Density: 2.033 g/cm3
Fermi-level density of states: 0.4610 states/eV per atom

Cell lengths 6.5249, 6.5249, 8.2469 Å; angles 90.00, 90.00, 104.68 degrees
With the nearest neighbours (Å) after each atom.
Fractional positions:
Mg 0.2113 0.4105 0.6808  1 C 2.29
Mg 0.3351 0.0304 0.5000  1 C 2.24
Mg 0.5895 0.7887 0.3192  1 C 2.29
Mg 0.3155 0.6845 0.0000  10 Mg 3.07-3.42
Mg 0.6938 0.3062 0.3085  1 Cu 2.84, 6 Mg 2.97-3.17
Mg 0.0691 0.9309 0.7921  1 Cu 2.85, 8 Mg 2.90-3.17
Mg 0.0691 0.9309 0.2079  1 Cu 2.85, 8 Mg 2.90-3.17
Mg 0.2113 0.4105 0.3192  1 C 2.29
Mg 0.9696 0.6649 0.5000  1 C 2.24
Mg 0.6938 0.3062 0.6915  1 Cu 2.84, 6 Mg 2.97-3.17
Mg 0.7764 0.6060 0.0000  9 Mg 3.01-3.25
Mg 0.3940 0.2236 0.0000  9 Mg 3.01-3.25
Mg 0.5895 0.7887 0.6808  1 C 2.29
Mg 0.8430 0.1570 0.0000  6 Mg 2.90-3.07
C 0.3171 0.6829 0.5000  6 Mg 2.24-2.29
Cu 0.9220 0.0780 0.5000  10 Mg 2.79-2.90

=====

Stability check: which of them is most stable? B.

=====

A:
A relaxed Mg6CuC crystal. Source: the Alexandria database, functional PBE-GGA.

Density: 2.552 g/cm3
Fermi-level density of states: 0.2959 states/eV per atom

Cell lengths 6.5510, 6.5510, 3.4010 Å; angles 90.00, 90.00, 99.25 degrees
With the nearest neighbours (Å) after each atom.
Fractional positions:
Mg 0.2028 0.4750 0.0000  2 C 2.45, 1 Mg 2.73
Mg 0.8753 0.1247 0.5000  2 Cu 2.73, 4 Mg 3.03-3.05
Mg 0.5250 0.7972 0.0000  2 C 2.45, 1 Mg 2.73
Mg 0.6211 0.3789 0.0000  2 C 2.24
Mg 0.8734 0.6622 0.5000  2 Cu 2.61, 1 C 2.62, 2 Mg 2.84
Mg 0.3378 0.1266 0.5000  2 Cu 2.61, 1 C 2.62, 2 Mg 2.84
Cu 0.0889 0.9111 0.0000  6 Mg 2.61-2.73
C 0.4757 0.5243 0.5000  6 Mg 2.24-2.45

=====

B:
A relaxed Mg6CuC crystal. Source: the Alexandria database, functional PBE-GGA.

Density: 2.551 g/cm3
Fermi-level density of states: 0.3262 states/eV per atom

Cell lengths 6.2000, 6.2000, 3.7683 Å; angles 90.00, 90.00, 95.86 degrees
With the nearest neighbours (Å) after each atom.
Fractional positions:
C 0.7469 0.2531 0.5000  4 Mg 2.29-2.37
Mg 0.1034 0.3918 0.5000  1 C 2.29
Mg 0.7905 0.5600 0.0000  2 C 2.67, 3 Mg 2.91-2.97
Mg 0.9031 0.0969 0.0000  2 C 2.37
Mg 0.6082 0.8966 0.5000  1 C 2.29
Mg 0.4400 0.2095 0.0000  2 C 2.67, 3 Mg 2.91-2.97
Mg 0.2993 0.7007 0.0000  2 Cu 2.57, 4 Mg 2.87
Cu 0.1087 0.8913 0.5000  4 Mg 2.57-2.67

=====

Stability check: which of them is most stable? A.

=====

A:
A relaxed MgSc2CuC crystal. Source: the Alexandria database, functional PBE-GGA.

Density: 3.656 g/cm3
Fermi-level density of states: 0.6577 states/eV per atom

Cell lengths 4.4909, 4.4909, 4.2732 Å; angles 90.00, 90.00, 90.00 degrees
With the nearest neighbours (Å) after each atom.
Fractional positions:
Sc 0.5000 0.0000 0.0000  2 C 2.25
Sc 0.0000 0.5000 0.0000  2 C 2.25
Mg 0.0000 0.0000 0.5000  2 C 2.14
Cu 0.5000 0.5000 0.5000  8 Sc 3.10, 4 Mg 3.18
C 0.0000 0.0000 0.0000  2 Mg 2.14, 4 Sc 2.25

=====

B:
A relaxed MgSc2CuC crystal. Source: the Alexandria database, functional PBE-GGA.

Density: 3.762 g/cm3
Fermi-level density of states: 0.6854 states/eV per atom

Cell lengths 4.5726, 4.5726, 4.0068 Å; angles 90.00, 90.00, 90.00 degrees
With the nearest neighbours (Å) after each atom.
Fractional positions:
C 0.0000 0.0000 0.0000  2 Cu 2.00
Sc 0.0000 0.5000 0.0000  2 C 2.29
Sc 0.5000 0.0000 0.0000  2 C 2.29
Mg 0.5000 0.5000 0.5000  8 Sc 3.04, 4 Cu 3.23
Cu 0.0000 0.0000 0.5000  2 C 2.00

=====

Stability check: which of them is most stable? A.

=====

A:
A relaxed Mn3CuC crystal. Source: the Alexandria database, functional PBE-GGA.

Density: 4.398 g/cm3
Fermi-level density of states: 0.6538 states/eV per atom

Cell lengths 4.4940, 4.4940, 4.4940 Å; angles 90.00, 90.00, 90.00 degrees
With the nearest neighbours (Å) after each atom.
Fractional positions:
Cu 0.0000 0.0000 0.0000  6 Mn 2.25
Mn 0.0000 0.0000 0.5000  2 Cu 2.25
Mn 0.0000 0.5000 0.0000  2 Cu 2.25
Mn 0.5000 0.0000 0.0000  2 Cu 2.25
C 0.5000 0.5000 0.5000  12 Mn 3.18

=====

B:
A relaxed Mn3CuC crystal. Source: the Alexandria database, functional PBE-GGA.

Density: 6.885 g/cm3
Fermi-level density of states: 0.5182 states/eV per atom

Cell lengths 3.8703, 3.8703, 3.8703 Å; angles 90.00, 90.00, 90.00 degrees
With the nearest neighbours (Å) after each atom.
Fractional positions:
C 0.0000 0.0000 0.0000  6 Mn 1.94
Mn 0.0000 0.0000 0.5000  2 C 1.94
Mn 0.0000 0.5000 0.0000  2 C 1.94
Mn 0.5000 0.0000 0.0000  2 C 1.94
Cu 0.5000 0.5000 0.5000  12 Mn 2.74

=====

Stability check: which of them is most stable? B.

=====

A:
A relaxed MnCuC3 crystal. Source: the Alexandria database, functional PBE-GGA.

Density: 4.935 g/cm3
Fermi-level density of states: 1.6255 states/eV per atom

Cell lengths 3.7323, 3.7323, 3.7323 Å; angles 90.00, 90.00, 90.00 degrees
With the nearest neighbours (Å) after each atom.
Fractional positions:
Cu 0.0000 0.0000 0.0000  6 C 1.87
C 0.5000 0.0000 0.0000  2 Cu 1.87
C 0.0000 0.0000 0.5000  2 Cu 1.87
C 0.0000 0.5000 0.0000  2 Cu 1.87
Mn 0.5000 0.5000 0.5000  12 C 2.64

=====

B:
A relaxed MnCuC3 crystal. Source: the Alexandria database, functional PBE-GGA.

Density: 4.902 g/cm3
Fermi-level density of states: 0.4394 states/eV per atom

Cell lengths 3.7407, 3.7407, 3.7407 Å; angles 90.00, 90.00, 90.00 degrees
With the nearest neighbours (Å) after each atom.
Fractional positions:
C 0.0000 0.5000 0.0000  2 Mn 1.87
C 0.5000 0.0000 0.0000  2 Mn 1.87
C 0.0000 0.0000 0.5000  2 Mn 1.87
Mn 0.0000 0.0000 0.0000  6 C 1.87
Cu 0.5000 0.5000 0.5000  12 C 2.65

=====

Stability check: which of them is most stable? B.